K2CrCd: optimized geometry, PBEsol.

a = 5.005 Å, b = 5.005 Å, c = 10.529 Å
α = 90.00°, β = 90.00°, γ = 90.00°
Space group I4/mmm (No. 139)
One atom of each set of equivalent atoms:
K 0.000 0.500 0.250
Cr 0.000 0.000 0.000
Cd 0.000 0.000 0.500

Computed properties:
The calculation puts the size of the total moment at 10.11 μB per cell. For the calculated formation energy, the calculation gives 73.3 kJ/mol of atoms.